Record 1
The following is a DFT calculation (PBE-GGA) of TlP6S12 after structural relaxation.

a = 12.3240 Å, b = 12.3240 Å, c = 12.3964 Å
α = 90.00°, β = 90.00°, γ = 120.00°
Space group R-3m (No. 166, hexagonal axes)
One atom of each set of equivalent atoms:
Tl: 0.0000 0.0000 0.0000 [3 per cell]
P: 0.0925 0.1851 0.8300 [18 per cell]
S: 0.0000 0.3768 0.5000 [18 per cell]
S: 0.0918 0.1835 0.2549 [18 per cell]

Properties
**ρ**: 2.37 g/cm³
**Final energy**: -4.255 eV per atom
**E_form (uncorrected)**: 184 meV per atom
**Density of states at the Fermi level**: 26.38 states/eV/cell

Record 2
The following is a DFT calculation (PBE-GGA) of TlPS3 after structural relaxation.

a = 6.6645 Å, b = 6.0008 Å, c = 6.9115 Å
α = 90.00°, β = 114.23°, γ = 90.00°
Space group P2_1/m (No. 11)
One atom of each set of equivalent atoms:
Tl: 0.0681 0.2500 0.3049 [2 per cell]
P: 0.3978 0.2500 0.9651 [2 per cell]
S: 0.0637 0.2500 0.8443 [2 per cell]
S: 0.4776 0.5189 0.7679 [4 per cell]

Properties
**ρ**: 4.37 g/cm³
**Final energy**: -4.174 eV per atom
**E_form (uncorrected)**: -143 meV per atom

Record 3
The following is a DFT calculation (PBE-GGA) of Tl2PS after structural relaxation.

a = 6.2617 Å, b = 6.2617 Å, c = 12.7585 Å
α = 90.00°, β = 90.00°, γ = 90.00°
Space group I-42d (No. 122)
One atom of each set of equivalent atoms:
Tl: 0.2380 0.2500 0.1250 [8 per cell]
P: 0.0000 0.0000 0.0000 [4 per cell]
S: 0.0000 0.0000 0.5000 [4 per cell]

Properties
**ρ**: 6.26 g/cm³
**Final energy**: -3.479 eV per atom
**E_form (uncorrected)**: 89 meV per atom
**Offset from the most stable computed form**: 0 meV per atom
**Density of states at the Fermi level**: 6.32 states/eV/cell